Entry 1:
{
  "formula": "SrTcAg",
  "functional": "GGA-PBE",
  "state": "optimized geometry",
  "lattice": [[4.8469, 0.0000, 0.0000], [0.0000, 3.9699, 0.0000], [0.0000, 0.0000, 7.9596]],
  "species": ["Ag", "Sr", "Tc", "Sr", "Tc", "Ag"],
  "fractional_positions": [[0.0000, 0.5000, 0.0188], [0.0000, 0.5000, 0.5832], [0.5000, 0.0000, 0.4295], [0.5000, 0.0000, 0.9194], [0.5000, 0.5000, 0.2696], [0.0000, 0.0000, 0.2617]],
  "dos_ef_per_ev_atom": 0.887,
  "polymorph_energy_mev_per_atom": 69,
  "formation_enthalpy_0k_mev_per_atom": 301
}

Entry 2:
{
  "formula": "BaReCl2",
  "functional": "GGA-PBE",
  "state": "optimized geometry",
  "lattice": [[-1.5196, -0.7331, 4.9596], [2.8963, -0.5568, 4.3296], [0.1341, 5.8077, 2.5648]],
  "species": ["Cl", "Cl", "Ba", "Re"],
  "fractional_positions": [[0.9757, 0.9757, 0.0289], [0.5243, 0.5243, 0.4711], [0.2500, 0.2500, 0.2500], [0.7500, 0.7500, 0.7500]],
  "dos_ef_per_ev_atom": 0.204,
  "polymorph_energy_mev_per_atom": 192,
  "formation_energy_uncorrected_ev_per_atom": 0.05
}

Entry 3:
{
  "formula": "KAl2Hg",
  "functional": "GGA-PBE",
  "state": "optimized geometry",
  "lattice": [[4.2152, 0.0000, 0.0000], [0.0000, 3.1056, -0.0563], [0.0000, 1.8251, 7.9529]],
  "species": ["K", "Al", "Hg", "Al"],
  "fractional_positions": [[0.5000, 0.6886, 0.7526], [0.5000, 0.4470, 0.2076], [0.0000, 0.3502, 0.4529], [0.0000, 0.0141, 0.0869]],
  "dos_ef_per_ev_atom": 0.260,
  "formation_enthalpy_0k_mev_per_atom": 73
}

Entry 4:
{
  "formula": "NaSr2InN",
  "functional": "GGA-PBE",
  "state": "optimized geometry",
  "lattice": [[5.2430, 0.0000, 0.0000], [0.0000, 5.2430, 0.0000], [0.0000, 0.0000, 5.1089]],
  "species": ["Sr", "N", "In", "Na", "Sr"],
  "fractional_positions": [[0.5000, 0.0000, 0.0000], [0.0000, 0.0000, 0.0000], [0.5000, 0.5000, 0.5000], [0.0000, 0.0000, 0.5000], [0.0000, 0.5000, 0.0000]],
  "dos_ef_per_ev_atom": 0.848,
  "formation_energy_uncorrected_ev_per_atom": -0.22
}

Entry 5:
{
  "formula": "Y2TiSbTe",
  "functional": "GGA-PBE",
  "state": "optimized geometry",
  "lattice": [[-2.9421, 3.7832, -2.9244], [2.4190, -1.9037, -4.8964], [-4.1655, -3.7139, -0.6139]],
  "species": ["Y", "Sb", "Y", "Ti", "Te"],
  "fractional_positions": [[0.0000, 0.0000, 0.5000], [0.0000, 0.5000, 0.0000], [0.5000, 0.0000, 0.0000], [0.5000, 0.5000, 0.5000], [0.0000, 0.0000, 0.0000]],
  "dos_ef_per_ev_atom": 1.045,
  "formation_energy_uncorrected_ev_per_atom": 0.51
}

Entry 6:
{
  "formula": "CdTe",
  "functional": "GGA-PBE",
  "state": "optimized geometry",
  "lattice": [[-3.0307, -3.2872, -1.2685], [-3.9902, 2.3823, -0.0545], [3.9549, 1.1324, -2.1624]],
  "species": ["Cd", "Te"],
  "fractional_positions": [[0.1899, 0.1899, 0.0000], [0.5879, 0.5879, 0.0000]],
  "dos_ef_per_ev_atom": 0.311,
  "formation_energy_uncorrected_ev_per_atom": -0.30
}

Entry 7:
{
  "formula": "Sr3CdS",
  "functional": "GGA-PBE",
  "state": "optimized geometry",
  "lattice": [[-0.9030, -4.0574, 4.0140], [5.4671, -1.7820, -0.5713], [1.6390, 3.7084, 4.1172]],
  "species": ["Cd", "S", "Sr", "Sr", "Sr"],
  "fractional_positions": [[0.5000, 0.5000, 0.5000], [0.0000, 0.0000, 0.0000], [0.0000, 0.0000, 0.5000], [0.0000, 0.5000, 0.0000], [0.5000, 0.0000, 0.0000]],
  "dos_ef_per_ev_atom": 0.935,
  "polymorph_energy_mev_per_atom": 0,
  "formation_energy_uncorrected_ev_per_atom": -0.82
}

Entry 8:
{
  "formula": "ScMn2Ru",
  "functional": "GGA-PBE",
  "state": "optimized geometry",
  "lattice": [[-1.5709, -2.3058, 4.1608], [0.8195, -4.0600, 2.8181], [2.4599, 0.6135, 3.5780]],
  "species": ["Ru", "Sc", "Mn", "Mn"],
  "fractional_positions": [[0.5088, 0.5088, 0.4913], [0.7541, 0.7541, 0.7458], [0.2528, 0.2528, 0.2471], [0.9843, 0.9843, 0.0157]],
  "dos_ef_per_ev_atom": 1.013,
  "polymorph_energy_mev_per_atom": 66,
  "formation_enthalpy_0k_mev_per_atom": 1
}

Q: Number 1 is which compound?
A: SrTcAg